Below is a relaxed Co2Tc crystal, with properties calculated at the PBE-GGA level.

Structure (CIF):
```
data_Co2Tc
_chemical_formula_sum 'Co2 Tc1'
_cell_length_a 2.6077
_cell_length_b 2.6077
_cell_length_c 6.2519
_cell_angle_alpha 90.00
_cell_angle_beta 90.00
_cell_angle_gamma 120.00
_symmetry_space_group_name_H-M 'P -3 m 1'
_symmetry_Int_Tables_number 164
_symmetry_space_group_name_Hall '-P 3 2"'
loop_
_atom_site_label
_atom_site_type_symbol
_atom_site_fract_x
_atom_site_fract_y
_atom_site_fract_z
Co1 Co 0.3333 0.6667 0.1574
Tc1 Tc 0.0000 0.0000 0.5000
```

Summary:
- energy above the lowest structure with this stoichiometry (meV/atom) = 179
- VASP energy (eV per atom) = -8.021
- DOS at the Fermi energy (states/eV/cell) = 4.83
- energy relative to the elements (kJ per mole of atoms) = 17
- ρ (g cm⁻³) = 9.7
- M_tot (μB/cell) = 2.60

=====

Below is a relaxed YEr2Ir9 crystal, with properties calculated at the PBE-GGA level.

Structure (CIF):
```
data_YEr2Ir9
_chemical_formula_sum 'Y3 Er6 Ir27'
_cell_length_a 5.2980
_cell_length_b 5.2980
_cell_length_c 26.2841
_cell_angle_alpha 90.00
_cell_angle_beta 90.00
_cell_angle_gamma 120.00
_symmetry_space_group_name_H-M 'R -3 m'
_symmetry_Int_Tables_number 166
_symmetry_space_group_name_Hall '-R 3 2"'
loop_
_atom_site_label
_atom_site_type_symbol
_atom_site_fract_x
_atom_site_fract_y
_atom_site_fract_z
Y1 Y 0.0000 0.0000 0.0000
Er1 Er 0.0000 0.0000 0.1393
Ir1 Ir 0.0000 0.0000 0.3329
Ir2 Ir 0.0000 0.0000 0.5000
Ir3 Ir 0.0001 0.5001 0.0825
```

Summary:
- VASP energy (eV per atom) = -8.537
- DOS at the Fermi energy (states/eV/cell) = 36.70
- energy relative to the elements (kJ per mole of atoms) = -57
- ρ (g cm⁻³) = 16.8
- M_tot (μB/cell) = 0.00

=====

Below is a relaxed Pu3Th2UP6 crystal, with properties calculated at the PBE-GGA level.

Structure (CIF):
```
data_Pu3Th2UP6
_chemical_formula_sum 'Pu6 Th4 U2 P12'
_cell_length_a 17.613
_cell_length_b 4.053
_cell_length_c 8.054
_cell_angle_alpha 90.00
_cell_angle_beta 102.86
_cell_angle_gamma 90.00
_symmetry_space_group_name_H-M 'C 1 2/m 1'
_symmetry_Int_Tables_number 12
loop_
_symmetry_equiv_pos_as_xyz
'x,y,z'
'-x,-y,-z'
'-x,y,-z'
'x,-y,z'
'x+1/2,y+1/2,z'
'-x+1/2,-y+1/2,-z'
'-x+1/2,y+1/2,-z'
'x+1/2,-y+1/2,z'
loop_
_atom_site_label
_atom_site_type_symbol
_atom_site_fract_x
_atom_site_fract_y
_atom_site_fract_z
Pu1 Pu 0.000 0.000 0.000
Pu2 Pu 0.168 0.500 0.333
Th1 Th 0.165 0.500 0.832
U1 U 0.000 0.000 0.500
P1 P 0.003 0.500 0.257
P2 P 0.164 0.000 0.573
P3 P 0.166 0.000 0.090
```

Summary:
- VASP energy (eV per atom) = -9.717
- DOS at the Fermi energy (states/eV/cell) = 67.53
- energy relative to the elements (kJ per mole of atoms) = -121
- ρ (g cm⁻³) = 9.6
- M_tot (μB/cell) = 6.60

=====

Below is a relaxed MnFe3Sb crystal, with properties calculated at the PBE-GGA level.

Structure (CIF):
```
data_MnFe3Sb
_chemical_formula_sum 'Mn1 Fe3 Sb1'
_cell_length_a 4.521
_cell_length_b 4.521
_cell_length_c 4.521
_cell_angle_alpha 90.00
_cell_angle_beta 90.00
_cell_angle_gamma 90.00
_symmetry_space_group_name_H-M 'P m -3 m'
_symmetry_Int_Tables_number 221
_symmetry_space_group_name_Hall '-P 4 2 3'
loop_
_atom_site_label
_atom_site_type_symbol
_atom_site_fract_x
_atom_site_fract_y
_atom_site_fract_z
Mn1 Mn 0.000 0.000 0.000
Fe1 Fe 0.000 0.500 0.500
Sb1 Sb 0.500 0.500 0.500
```

Summary:
- energy above the lowest structure with this stoichiometry (meV/atom) = 1212
- VASP energy (eV per atom) = -5.542
- formation energy without anion corrections (eV/f.u.) = 11.0
- DOS at the Fermi energy (states/eV/cell) = 18.20
- ρ (g cm⁻³) = 6.2
- M_tot (μB/cell) = 0.48

=====

Below is a relaxed BWI2 crystal, with properties calculated at the PBE-GGA level.

Structure (CIF):
```
data_BWI2
_chemical_formula_sum 'B4 W4 I8'
_cell_length_a 6.754
_cell_length_b 6.754
_cell_length_c 6.754
_cell_angle_alpha 90.00
_cell_angle_beta 90.00
_cell_angle_gamma 90.00
_symmetry_space_group_name_H-M 'F m -3 m'
_symmetry_Int_Tables_number 225
_symmetry_space_group_name_Hall '-F 4 2 3'
loop_
_atom_site_label
_atom_site_type_symbol
_atom_site_fract_x
_atom_site_fract_y
_atom_site_fract_z
B1 B 0.000 0.000 0.000
W1 W 0.000 0.000 0.500
I1 I 0.250 0.250 0.250
```

Summary:
- energy above the lowest structure with this stoichiometry (meV/atom) = 0
- VASP energy (eV per atom) = -3.913
- formation energy without anion corrections (eV/f.u.) = 7.1
- DOS at the Fermi energy (states/eV/cell) = 9.43
- ρ (g cm⁻³) = 9.7
- M_tot (μB/cell) = 0.00

=====

Below is a relaxed La3Y crystal, with properties calculated at the PBE-GGA level.

Structure (CIF):
```
data_La3Y
_chemical_formula_sum 'La9 Y3'
_cell_length_a 11.8331
_cell_length_b 11.8331
_cell_length_c 3.5649
_cell_angle_alpha 90.00
_cell_angle_beta 90.00
_cell_angle_gamma 120.00
_symmetry_space_group_name_H-M 'R -3 m'
_symmetry_Int_Tables_number 166
_symmetry_space_group_name_Hall '-R 3 2"'
loop_
_atom_site_label
_atom_site_type_symbol
_atom_site_fract_x
_atom_site_fract_y
_atom_site_fract_z
La1 La 0.0000 0.5000 0.0000
Y1 Y 0.0000 0.0000 0.0000
```

Summary:
- VASP energy (eV per atom) = -5.178
- DOS at the Fermi energy (states/eV/cell) = 33.12
- energy relative to the elements (kJ per mole of atoms) = 13
- ρ (g cm⁻³) = 5.8
- M_tot (μB/cell) = 0.26

=====

Below is a relaxed Ho4AsCSe2 crystal, with properties calculated at the PBE-GGA level.

Structure (CIF):
```
data_Ho4AsCSe2
_chemical_formula_sum 'Ho4 As1 C1 Se2'
_cell_length_a 6.870
_cell_length_b 3.905
_cell_length_c 6.959
_cell_angle_alpha 90.00
_cell_angle_beta 108.82
_cell_angle_gamma 90.00
_symmetry_space_group_name_H-M 'P 1 2/m 1'
_symmetry_Int_Tables_number 10
loop_
_symmetry_equiv_pos_as_xyz
'x,y,z'
'-x,-y,-z'
'-x,y,-z'
'x,-y,z'
loop_
_atom_site_label
_atom_site_type_symbol
_atom_site_fract_x
_atom_site_fract_y
_atom_site_fract_z
Ho1 Ho 0.217 0.000 0.212
Ho2 Ho 0.232 0.500 0.779
As1 As 0.500 0.000 0.000
C1 C 0.000 0.500 0.000
Se1 Se 0.000 0.000 0.500
Se2 Se 0.500 0.500 0.500
```

Summary:
- VASP energy (eV per atom) = -6.302
- formation energy without anion corrections (eV/f.u.) = -11.3
- DOS at the Fermi energy (states/eV/cell) = 1.85
- ρ (g cm⁻³) = 8.5
- M_tot (μB/cell) = 0.00

=====

Below is a relaxed CaTb9Pm2 crystal, with properties calculated at the PBE-GGA level.

Structure (CIF):
```
data_CaTb9Pm2
_chemical_formula_sum 'Ca1 Tb9 Pm2'
_cell_length_a 5.092
_cell_length_b 5.092
_cell_length_c 15.240
_cell_angle_alpha 90.00
_cell_angle_beta 90.00
_cell_angle_gamma 90.00
_symmetry_space_group_name_H-M 'P 4/m m m'
_symmetry_Int_Tables_number 123
_symmetry_space_group_name_Hall '-P 4 2'
loop_
_atom_site_label
_atom_site_type_symbol
_atom_site_fract_x
_atom_site_fract_y
_atom_site_fract_z
Ca1 Ca 0.000 0.000 0.000
Tb1 Tb 0.000 0.500 0.172
Tb2 Tb 0.000 0.500 0.500
Tb3 Tb 0.500 0.500 0.000
Tb4 Tb 0.500 0.500 0.333
Pm1 Pm 0.000 0.000 0.333
```

Summary:
- VASP energy (eV per atom) = -4.382
- DOS at the Fermi energy (states/eV/cell) = 18.15
- energy relative to the elements (kJ per mole of atoms) = 5
- ρ (g cm⁻³) = 7.4
- M_tot (μB/cell) = 0.00